Record 1
DFT (PBE) results for crystalline PuGe6P8 at its relaxed geometry.

It has space group R-3 (No. 148, hexagonal axes), with a = 10.0168 Å, b = 10.0168 Å, c = 10.5294 Å, α = 90.00°, β = 90.00° and γ = 120.00°. The inequivalent atoms are Pu at (0.0000, 0.0000, 0.0000), Ge at (0.0256, 0.7808, 0.6324), P at (0.0000, 0.0000, 0.2800) and P at (0.0512, 0.6153, 0.7829).

The value obtained for the formation energy is 0.00 eV/atom. The value obtained for the total energy is -5.689 eV per atom. The value obtained for the magnetization is 5.60 μB/f.u.

---

Record 2
DFT (PBE) results for crystalline ScTlBi3 at its relaxed geometry.

It has space group Pm-3m (No. 221), with a = 5.758 Å, b = 5.758 Å, c = 5.758 Å, α = 90.00°, β = 90.00° and γ = 90.00°. The inequivalent atoms are Sc at (0.000, 0.000, 0.000), Tl at (0.500, 0.500, 0.500) and Bi at (0.000, 0.500, 0.500).

The value obtained for the formation energy is 0.79 eV/atom. The energy above the most stable polymorph in this dataset is 738 meV/atom. The value obtained for the total energy is -3.279 eV per atom. The value obtained for the magnetization is 0.00 μB/f.u.

---

Record 3
DFT (PBE) results for crystalline BaZn2Rh at its relaxed geometry.

It has space group C2/m (No. 12), with a = 7.616 Å, b = 4.402 Å, c = 6.295 Å, α = 90.00°, β = 113.93° and γ = 90.00°. The inequivalent atoms are Ba at (0.000, 0.000, 0.000), Zn at (0.195, 0.000, 0.584) and Rh at (0.000, 0.500, 0.500).

The value obtained for the formation energy is -0.33 eV/atom. The value obtained for the total energy is -3.288 eV per atom. The value obtained for the magnetization is 0.00 μB/f.u.

---

Record 4
DFT (PBE) results for crystalline UTe2AuO8 at its relaxed geometry.

It has space group C2/m (No. 12), with a = 13.007 Å, b = 6.160 Å, c = 5.398 Å, α = 90.00°, β = 113.48° and γ = 90.00°. The inequivalent atoms are U at (0.000, 0.000, 0.000), Te at (0.202, 0.500, 0.188), Au at (0.000, 0.500, 0.500), O at (0.083, 0.000, 0.364), O at (0.111, 0.275, 0.957) and O at (0.155, 0.500, 0.479).

Its raw formation energy is -1.4434 eV per atom. The value obtained for the total energy is -6.486 eV per atom. The value obtained for the magnetization is 0.92 μB/f.u.

---

Record 5
DFT (PBE) results for crystalline Ce3InAs4 at its relaxed geometry.

It has space group Pm-3m (No. 221), with a = 5.958 Å, b = 5.958 Å, c = 5.958 Å, α = 90.00°, β = 90.00° and γ = 90.00°. The inequivalent atoms are Ce at (0.000, 0.000, 0.500), In at (0.500, 0.500, 0.500), As at (0.000, 0.000, 0.000) and As at (0.000, 0.500, 0.500).

The value obtained for the formation energy is -1.02 eV/atom. The value obtained for the total energy is -5.914 eV per atom. The value obtained for the magnetization is 2.34 μB/f.u.

---

Record 6
DFT (PBE) results for crystalline PrGa4Ni2Pt at its relaxed geometry.

It has space group R-3m (No. 166, hexagonal axes), with a = 4.1782 Å, b = 4.1782 Å, c = 27.0640 Å, α = 90.00°, β = 90.00° and γ = 120.00°. The inequivalent atoms are Pr at (0.0000, 0.0000, 0.0000), Ga at (0.0000, 0.0000, 0.1268), Ga at (0.0000, 0.0000, 0.4027), Ni at (0.0000, 0.0000, 0.2287) and Pt at (0.0000, 0.0000, 0.5000).

The value obtained for the formation energy is -0.51 eV/atom. The value obtained for the total energy is -4.823 eV per atom. The value obtained for the magnetization is 0.00 μB/f.u.

---

Record 7
DFT (PBE) results for crystalline ScTcRh2 at its relaxed geometry.

It has space group I-4m2 (No. 119), with a = 3.901 Å, b = 3.901 Å, c = 8.121 Å, α = 90.00°, β = 90.00° and γ = 90.00°. The inequivalent atoms are Sc at (0.000, 0.000, 0.000), Tc at (0.000, 0.500, 0.750), Rh at (0.000, 0.000, 0.500) and Rh at (0.000, 0.500, 0.250).

The value obtained for the formation energy is -0.29 eV/atom. The energy above the most stable polymorph in this dataset is 104 meV/atom. The value obtained for the total energy is -8.139 eV per atom. The value obtained for the magnetization is 0.02 μB/f.u.

---

Record 8
DFT (PBE) results for crystalline Cu4OsSe at its relaxed geometry.

It has space group F-43m (No. 216), with a = 6.864 Å, b = 6.864 Å, c = 6.864 Å, α = 90.00°, β = 90.00° and γ = 90.00°. The inequivalent atoms are Cu at (0.124, 0.124, 0.124), Os at (0.250, 0.250, 0.750) and Se at (0.000, 0.000, 0.500).

Its raw formation energy is 0.5463 eV per atom. The value obtained for the total energy is -4.637 eV per atom. The value obtained for the magnetization is 0.00 μB/f.u.

---

Record 9
DFT (PBE) results for crystalline ScBF at its relaxed geometry.

It has space group Cmcm (No. 63), with a = 3.605 Å, b = 11.717 Å, c = 3.208 Å, α = 90.00°, β = 90.00° and γ = 90.00°. The inequivalent atoms are Sc at (0.000, 0.123, 0.250), B at (0.000, 0.480, 0.250) and F at (0.000, 0.248, 0.750).

Its raw formation energy is -1.9895 eV per atom. The value obtained for the total energy is -6.950 eV per atom. The value obtained for the magnetization is 0.00 μB/f.u.

---

| no. | DOS(E_F) (states/eV per cell) |
| --- | --- |
| 1 | 34.60 |
| 2 | 6.40 |
| 3 | 4.98 |
| 4 | 3.94 |
| 5 | 16.66 |
| 6 | 8.50 |
| 7 | 10.44 |
| 8 | 27.80 |
| 9 | 4.54 |